Material: Li3LaSc
Method: DFT, SCAN
State: single point on PBEsol structure

Results
Energy relative to the elements in meV per atom: 1031
Uncorrected energy in eV per cell: -59.35
Magnetization in μB per cell: 2.682

a b c (Å): 5.084 5.084 5.084
angles (deg): 90.00 90.00 90.00
Space group Pm-3m (No. 221)
Symmetry-distinct sites (fractional):
Li: 0.000 0.000 0.500 x3
La: 0.000 0.000 0.000 x1
Sc: 0.500 0.500 0.500 x1

=====

Material: LiLaSc2
Method: DFT, SCAN
State: single point on PBEsol structure

Results
Energy relative to the elements in meV per atom: 178
Uncorrected energy in eV per cell: -73.26
Magnetization in μB per cell: 0.740

a b c (Å): 3.282 5.020 6.404
angles (deg): 90.00 104.82 90.00
Space group Pm (No. 6)
Symmetry-distinct sites (fractional):
Li: 0.000 0.000 0.000 x1
La: 0.384 0.500 0.763 x1
Sc: 0.133 0.500 0.258 x1
Sc: 0.731 0.000 0.456 x1